{"formula": "SrFeW2", "functional": "PBE-GGA", "state": "optimized geometry", "dos_ef_per_ev_cell": 10.75, "de_polymorph_mev_per_atom": 531, "space_group": "Cmmm, No. 65", "magmom_total_mub_per_fu": 2.4, "e_tot_ha_per_atom": -0.28547, "crystal_system": "orthorhombic", "lattice_angstrom": [[5.413, 0.000, 0.000], [0.000, 10.192, 0.000], [0.000, 0.000, 2.696]], "species": ["Sr", "Sr", "Fe", "Fe", "W", "W", "W", "W"], "fractional_positions": [[0.000, 0.000, 0.000], [0.500, 0.500, 0.000], [0.000, 0.500, 0.000], [0.500, 0.000, 0.000], [0.250, 0.250, 0.500], [0.250, 0.750, 0.500], [0.750, 0.250, 0.500], [0.750, 0.750, 0.500]]}